# 1
Computed, not measured: a relaxed Sn2MoIr crystal at the PBE level of DFT.

Calculated values
Its raw total energy is -6.4310 eV/atom. As for the crystal system: cubic.

The structure in extended XYZ format:
```
4
Lattice="0.0000 3.3472 3.3472 3.3472 0.0000 3.3472 3.3472 3.3472 0.0000" Properties=species:S:1:pos:R:3 pbc="T T T"
Sn 0.0000 0.0000 0.0000
Sn 1.6736 1.6736 1.6736
Mo 5.0208 5.0208 5.0208
Ir 3.3472 3.3472 3.3472
```

=====

# 2
Computed, not measured: a relaxed PaCoPt crystal at the PBE level of DFT.

Calculated values
Its raw total energy is -8.0641 eV/atom. As for the crystal system: cubic. Its energy of formation from the pure elements is -0.5115 eV per atom.

The structure in extended XYZ format:
```
3
Lattice="0.0000 3.0530 3.0530 3.0530 0.0000 3.0530 3.0530 3.0530 0.0000" Properties=species:S:1:pos:R:3 pbc="T T T"
Pa 0.0000 0.0000 0.0000
Co 1.5265 1.5265 1.5265
Pt 3.0530 3.0530 3.0530
```

=====

# 3
Computed, not measured: a relaxed Ba2Ag2SeSF2 crystal at the PBE level of DFT.

Calculated values
Its raw total energy is -4.6356 eV/atom. As for the crystal system: tetragonal.

The structure in extended XYZ format:
```
8
Lattice="4.3159 0.0000 0.0000 0.0000 4.3159 0.0000 0.0000 0.0000 9.3471" Properties=species:S:1:pos:R:3 pbc="T T T"
Ba 0.0000 0.0000 0.0000
Ba 2.1579 2.1579 3.0911
Ag 0.0000 2.1579 6.3136
Ag 2.1579 0.0000 6.3136
Se 0.0000 0.0000 4.5751
S 2.1579 2.1579 7.9125
F 0.0000 2.1579 1.5482
F 2.1579 0.0000 1.5482
```

=====

# 4
Computed, not measured: a relaxed GdEr3Sn2C2 crystal at the PBE level of DFT.

Calculated values
Its raw total energy is -6.1518 eV/atom. As for the crystal system: trigonal.

The structure in extended XYZ format:
```
8
Lattice="3.6030 0.0000 0.0000 -1.8015 3.1203 0.0000 0.0000 0.0000 15.8125" Properties=species:S:1:pos:R:3 pbc="T T T"
Gd 0.0000 0.0000 0.0000
Er 0.0000 0.0000 10.5474
Er 1.8015 1.0401 2.6928
Er 1.8015 1.0401 7.9108
Sn 0.0000 0.0000 5.3023
Sn 1.8015 1.0401 13.1437
C 0.0000 2.0802 1.3793
C 0.0000 2.0802 9.2268
```

=====

# 5
Computed, not measured: a relaxed SmErNO crystal at the PBE level of DFT.

Calculated values
The energy above the most stable polymorph in this dataset is 45 meV/atom. Its raw total energy is -7.8224 eV/atom. As for the crystal system: orthorhombic.

The structure in extended XYZ format:
```
16
Lattice="8.1074 0.0000 0.0000 0.0000 6.6811 0.0000 0.0000 0.0000 4.9525" Properties=species:S:1:pos:R:3 pbc="T T T"
Sm 1.0114 0.4550 1.2381
Sm 1.0114 2.8855 3.7144
Sm 7.0960 3.7956 1.2381
Sm 7.0960 6.2261 3.7144
Er 3.0574 3.9088 1.2381
Er 3.0574 6.1128 3.7144
Er 5.0500 0.5683 1.2381
Er 5.0500 2.7723 3.7144
N 3.0987 3.8581 3.7144
N 3.0987 6.1636 1.2381
N 5.0087 0.5176 3.7144
N 5.0087 2.8230 1.2381
O 1.1614 0.5938 3.7144
O 1.1614 2.7468 1.2381
O 6.9460 3.9343 3.7144
O 6.9460 6.0873 1.2381
```

=====

# 6
Computed, not measured: a relaxed Mo3OsN crystal at the PBE level of DFT.

Calculated values
Its raw total energy is -10.4798 eV/atom. As for the crystal system: cubic.

The structure in extended XYZ format:
```
5
Lattice="4.0887 0.0000 0.0000 0.0000 4.0887 0.0000 0.0000 0.0000 4.0887" Properties=species:S:1:pos:R:3 pbc="T T T"
Mo 0.0000 0.0000 2.0443
Mo 0.0000 2.0443 0.0000
Mo 2.0443 0.0000 0.0000
Os 2.0443 2.0443 2.0443
N 0.0000 0.0000 0.0000
```

=====

# 7
Computed, not measured: a relaxed Hf2ZnPb2 crystal at the PBE level of DFT.

Calculated values
The energy above the most stable polymorph in this dataset is 56 meV/atom. Its raw total energy is -5.1030 eV/atom. As for the crystal system: tetragonal.

The structure in extended XYZ format:
```
5
Lattice="-2.2314 2.2314 6.8315 2.2314 -2.2314 6.8315 2.2314 2.2314 -6.8315" Properties=species:S:1:pos:R:3 pbc="T T T"
Hf 2.2314 0.0000 3.4158
Hf 0.0000 2.2314 3.4158
Zn 0.0000 0.0000 0.0000
Pb 0.0000 0.0000 5.3928
Pb 0.0000 0.0000 8.2702
```

=====

# 8
Computed, not measured: a relaxed NaUTc crystal at the PBE level of DFT.

Calculated values
The energy above the most stable polymorph in this dataset is 0 meV/atom. Its raw total energy is -6.1468 eV/atom. As for the crystal system: cubic.

The structure in extended XYZ format:
```
3
Lattice="0.0000 3.2369 3.2369 3.2369 0.0000 3.2369 3.2369 3.2369 0.0000" Properties=species:S:1:pos:R:3 pbc="T T T"
Na 0.0000 0.0000 0.0000
U 1.6184 1.6184 1.6184
Tc 3.2369 3.2369 3.2369
```

=====

# 9
Computed, not measured: a relaxed HfTcGe crystal at the PBE level of DFT.

Calculated values
The energy above the most stable polymorph in this dataset is 0 meV/atom. Its raw total energy is -9.0109 eV/atom. As for the crystal system: hexagonal.

The structure in extended XYZ format:
```
9
Lattice="7.0723 0.0000 0.0000 -3.5362 6.1248 0.0000 0.0000 0.0000 3.4390" Properties=species:S:1:pos:R:3 pbc="T T T"
Hf -1.4234 2.4654 0.0000
Hf 2.8468 0.0000 0.0000
Hf 2.1127 3.6594 0.0000
Tc -2.6242 4.5452 1.7195
Tc 0.9120 1.5796 1.7195
Tc 5.2483 0.0000 1.7195
Ge 0.0000 0.0000 0.0000
Ge 0.0000 4.0832 1.7195
Ge 3.5362 2.0416 1.7195
```

=====

# 10
Computed, not measured: a relaxed Ni4SbAsC2 crystal at the PBE level of DFT.

Calculated values
Its raw total energy is -5.7737 eV/atom. As for the crystal system: hexagonal.

The structure in extended XYZ format:
```
8
Lattice="3.0787 0.0000 0.0000 -1.5394 2.6663 0.0000 0.0000 0.0000 12.4429" Properties=species:S:1:pos:R:3 pbc="T T T"
Ni 0.0000 0.0000 2.0558
Ni 0.0000 0.0000 10.3871
Ni 0.0000 1.7775 3.8006
Ni 0.0000 1.7775 8.6423
Sb 0.0000 0.0000 6.2215
As 0.0000 1.7775 0.0000
C 1.5394 0.8888 2.9729
C 1.5394 0.8888 9.4700
```

=====

# 11
Computed, not measured: a relaxed SrLiHo crystal at the PBE level of DFT.

Calculated values
The energy above the most stable polymorph in this dataset is 0 meV/atom. Its raw total energy is -2.2107 eV/atom. As for the crystal system: cubic.

The structure in extended XYZ format:
```
3
Lattice="0.0000 3.8157 3.8157 3.8157 0.0000 3.8157 3.8157 3.8157 0.0000" Properties=species:S:1:pos:R:3 pbc="T T T"
Sr 0.0000 0.0000 0.0000
Li 5.7235 5.7235 5.7235
Ho 3.8157 3.8157 3.8157
```

=====

# 12
Computed, not measured: a relaxed Na4BiSbPt2 crystal at the PBE level of DFT.

Calculated values
Its raw total energy is -3.4827 eV/atom. As for the crystal system: tetragonal.

The structure in extended XYZ format:
```
8
Lattice="4.8316 0.0000 0.0000 0.0000 4.8316 0.0000 0.0000 0.0000 6.9007" Properties=species:S:1:pos:R:3 pbc="T T T"
Na 0.0000 0.0000 0.0000
Na 0.0000 2.4158 5.1386
Na 2.4158 0.0000 1.7621
Na 2.4158 2.4158 3.4503
Bi 2.4158 2.4158 0.0000
Sb 0.0000 0.0000 3.4503
Pt 0.0000 2.4158 1.8199
Pt 2.4158 0.0000 5.0808
```

=====

# 13
Computed, not measured: a relaxed Na2PrGdO4 crystal at the PBE level of DFT.

Calculated values
Its raw total energy is -6.6616 eV/atom. As for the crystal system: tetragonal.

The structure in extended XYZ format:
```
8
Lattice="-2.3470 2.3470 5.2926 2.3470 -2.3470 5.2926 2.3470 2.3470 -5.2926" Properties=species:S:1:pos:R:3 pbc="T T T"
Na 0.0000 0.0000 0.0000
Na 0.0000 2.3470 2.6463
Pr 2.3470 0.0000 2.6463
Gd 0.0000 0.0000 5.2926
O 2.3470 0.0000 0.2145
O 0.0000 0.0000 3.0038
O 2.3470 0.0000 5.0781
O 0.0000 0.0000 7.5815
```

=====

# 14
Computed, not measured: a relaxed Li2Zn3InAu2 crystal at the PBE level of DFT.

Calculated values
Its raw total energy is -2.4531 eV/atom. As for the crystal system: tetragonal.

The structure in extended XYZ format:
```
8
Lattice="4.4684 0.0000 0.0000 0.0000 4.4684 0.0000 0.0000 0.0000 6.4298" Properties=species:S:1:pos:R:3 pbc="T T T"
Li 0.0000 2.2342 1.4777
Li 2.2342 0.0000 4.9520
Zn 0.0000 0.0000 0.0000
Zn 2.2342 2.2342 0.0000
Zn 2.2342 2.2342 3.2149
In 0.0000 0.0000 3.2149
Au 0.0000 2.2342 4.9280
Au 2.2342 0.0000 1.5018
```

=====

# 15
Computed, not measured: a relaxed TaCuNiSn crystal at the PBE level of DFT.

Calculated values
The energy above the most stable polymorph in this dataset is 179 meV/atom. Its raw total energy is -6.0403 eV/atom. As for the crystal system: cubic.

The structure in extended XYZ format:
```
4
Lattice="0.0000 3.1582 3.1582 3.1582 0.0000 3.1582 3.1582 3.1582 0.0000" Properties=species:S:1:pos:R:3 pbc="T T T"
Ta 0.0000 0.0000 0.0000
Cu 4.7373 4.7373 4.7373
Ni 3.1582 3.1582 3.1582
Sn 1.5791 1.5791 1.5791
```

=====

# 16
Computed, not measured: a relaxed TcPPdO crystal at the PBE level of DFT.

Calculated values
The energy above the most stable polymorph in this dataset is 321 meV/atom. Its raw total energy is -6.6712 eV/atom. As for the crystal system: tetragonal.

The structure in extended XYZ format:
```
8
Lattice="4.3259 0.0000 0.0000 0.0000 4.3259 0.0000 0.0000 0.0000 5.4057" Properties=species:S:1:pos:R:3 pbc="T T T"
Tc 1.0815 3.2444 0.0000
Tc 3.2444 1.0815 0.0000
P 1.0815 1.0815 0.9480
P 3.2444 3.2444 4.4577
Pd 1.0815 1.0815 3.3189
Pd 3.2444 3.2444 2.0868
O 1.0815 3.2444 2.7028
O 3.2444 1.0815 2.7028
```

=====

# 17
Computed, not measured: a relaxed Zr4CoN2 crystal at the PBE level of DFT.

Calculated values
Its raw total energy is -9.4109 eV/atom. As for the crystal system: orthorhombic.

The structure in extended XYZ format:
```
14
Lattice="1.6456 -5.4905 0.0000 1.6456 5.4905 0.0000 0.0000 0.0000 11.6808" Properties=species:S:1:pos:R:3 pbc="T T T"
Zr 0.0000 0.0000 0.0000
Zr 0.0000 0.0000 5.8404
Zr 1.6456 2.5349 7.1398
Zr 1.6456 2.5349 10.3814
Zr 1.6456 0.7056 2.9202
Zr 1.6456 -0.7056 8.7606
Zr 1.6456 -2.5349 1.2994
Zr 1.6456 -2.5349 4.5410
Co 1.6456 4.2799 2.9202
Co 1.6456 -4.2799 8.7606
N 1.6456 1.4709 0.7014
N 1.6456 1.4709 5.1390
N 1.6456 -1.4709 6.5418
N 1.6456 -1.4709 10.9794
```

=====

# 18
Computed, not measured: a relaxed TbB4W crystal at the PBE level of DFT.

Calculated values
The energy above the most stable polymorph in this dataset is 0 meV/atom. Its raw total energy is -7.9733 eV/atom. As for the crystal system: orthorhombic.

The structure in extended XYZ format:
```
24
Lattice="6.0428 0.0000 0.0000 0.0000 11.6825 0.0000 0.0000 0.0000 3.6325" Properties=species:S:1:pos:R:3 pbc="T T T"
Tb 0.7668 1.7500 0.0000
Tb 2.2546 7.5913 0.0000
Tb 3.7882 4.0912 0.0000
Tb 5.2761 9.9324 0.0000
B 0.1458 8.0957 1.8163
B 0.6875 6.3924 1.8163
B 0.8092 11.3070 1.8163
B 1.2906 9.5052 1.8163
B 1.7309 3.6639 1.8163
B 2.2122 5.4657 1.8163
B 2.3339 0.5512 1.8163
B 2.8756 2.2545 1.8163
B 3.1672 9.4280 1.8163
B 3.7089 11.1313 1.8163
B 3.8307 6.2167 1.8163
B 4.3120 8.0185 1.8163
B 4.7523 2.1773 1.8163
B 5.2336 0.3755 1.8163
B 5.3553 5.2900 1.8163
B 5.8970 3.5868 1.8163
W 0.7897 4.8554 0.0000
W 2.2318 10.6967 0.0000
W 3.8111 0.9858 0.0000
W 5.2532 6.8270 0.0000
```

=====

# 19
Computed, not measured: a relaxed Sm2Ta2PbN6 crystal at the PBE level of DFT.

Calculated values
Its raw total energy is -8.8226 eV/atom. As for the crystal system: tetragonal.

The structure in extended XYZ format:
```
11
Lattice="-2.0369 2.0369 9.9702 2.0369 -2.0369 9.9702 2.0369 2.0369 -9.9702" Properties=species:S:1:pos:R:3 pbc="T T T"
Sm 0.0000 0.0000 3.5595
Sm 0.0000 0.0000 16.3809
Ta 0.0000 0.0000 7.8028
Ta 0.0000 0.0000 12.1376
Pb 0.0000 0.0000 0.0000
N 2.0369 0.0000 1.8882
N 0.0000 0.0000 5.9093
N 2.0369 0.0000 8.0820
N 0.0000 2.0369 1.8882
N 0.0000 0.0000 14.0311
N 0.0000 2.0369 8.0820
```

=====

# 20
Computed, not measured: a relaxed Al2GaNi crystal at the PBE level of DFT.

Calculated values
Its raw total energy is -4.0304 eV/atom. As for the crystal system: cubic.

The structure in extended XYZ format:
```
4
Lattice="0.0000 3.0915 3.0915 3.0915 0.0000 3.0915 3.0915 3.0915 0.0000" Properties=species:S:1:pos:R:3 pbc="T T T"
Al 0.0000 0.0000 0.0000
Al 1.5457 1.5457 1.5457
Ga 4.6372 4.6372 4.6372
Ni 3.0915 3.0915 3.0915
```

=====

# 21
Computed, not measured: a relaxed DyYAg2Sn2 crystal at the PBE level of DFT.

Calculated values
Its raw total energy is -4.7260 eV/atom. As for the crystal system: trigonal.

The structure in extended XYZ format:
```
6
Lattice="4.7363 0.0000 0.0000 -2.3682 4.1018 0.0000 0.0000 0.0000 7.3310" Properties=species:S:1:pos:R:3 pbc="T T T"
Dy 0.0000 0.0000 0.0000
Y 0.0000 0.0000 3.6649
Ag 0.0000 2.7345 5.0629
Ag 2.3682 1.3673 1.3927
Sn 0.0000 2.7345 2.0466
Sn 2.3682 1.3673 5.7164
```

=====

# 22
Computed, not measured: a relaxed Nb2SnIr crystal at the PBE level of DFT.

Calculated values
Its raw total energy is -8.3128 eV/atom. As for the crystal system: cubic.

The structure in extended XYZ format:
```
4
Lattice="0.0000 3.2885 3.2885 3.2885 0.0000 3.2885 3.2885 3.2885 0.0000" Properties=species:S:1:pos:R:3 pbc="T T T"
Nb 0.0000 0.0000 0.0000
Nb 1.6442 1.6442 1.6442
Sn 3.2885 3.2885 3.2885
Ir 4.9327 4.9327 4.9327
```

=====

# 23
Computed, not measured: a relaxed Y2HoN3 crystal at the PBE level of DFT.

Calculated values
Its raw total energy is -8.7904 eV/atom. As for the crystal system: trigonal.

The structure in extended XYZ format:
```
6
Lattice="3.4557 0.0000 0.0000 -1.7278 2.9927 0.0000 0.0000 0.0000 8.4586" Properties=species:S:1:pos:R:3 pbc="T T T"
Y 0.0000 1.9951 2.8149
Y 1.7278 0.9976 5.6437
Ho 0.0000 0.0000 0.0000
N 0.0000 0.0000 4.2293
N 0.0000 1.9951 7.0667
N 1.7278 0.9976 1.3920
```

=====

# 24
Computed, not measured: a relaxed Gd3P11 crystal at the PBE level of DFT.

Calculated values
Its raw total energy is -5.6811 eV/atom. As for the crystal system: monoclinic.

The structure in extended XYZ format:
```
14
Lattice="7.4187 -3.6596 0.0000 7.4187 3.6596 0.0000 -0.9403 0.0000 5.6612" Properties=species:S:1:pos:R:3 pbc="T T T"
Gd 0.0000 0.0000 0.0000
Gd 4.0692 0.0000 5.2184
Gd 9.1914 0.0000 1.0761
P 8.9427 -2.5091 4.8374
P 5.8202 1.9045 1.5186
P 5.7778 1.7431 3.6767
P 2.5866 0.0000 1.6823
P 8.9427 2.5091 4.8374
P 9.9900 1.9427 3.0236
P 7.0859 0.0000 4.0028
P 5.8202 -1.9045 1.5186
P 5.7778 -1.7431 3.6767
P 12.0731 0.0000 0.8409
P 9.9900 -1.9427 3.0236
```

=====

# 25
Computed, not measured: a relaxed CdOsAu crystal at the PBE level of DFT.

Calculated values
The energy above the most stable polymorph in this dataset is 0 meV/atom. Its raw total energy is -4.1159 eV/atom. As for the crystal system: cubic. Its energy of formation from the pure elements is 1.0133 eV per atom.

The structure in extended XYZ format:
```
3
Lattice="0.0000 3.1578 3.1578 3.1578 0.0000 3.1578 3.1578 3.1578 0.0000" Properties=species:S:1:pos:R:3 pbc="T T T"
Cd 0.0000 0.0000 0.0000
Os 4.7367 4.7367 4.7367
Au 3.1578 3.1578 3.1578
```